First-principles (GGA-PBE) data for crystalline Dy2TlCuTe4 at its relaxed geometry, as listed in Alexandria via LeMat-Bulk.

The structure in extended XYZ format:
```
16
Lattice="4.3552 0.0000 0.0000 -2.1776 7.5055 0.0000 0.0000 0.0000 15.3546" Properties=species:S:1:pos:R:3 pbc="T T T"
Tl 0.0000 1.7455 11.5160
Te 0.0000 4.0338 5.9238
Cu 2.1776 5.1286 11.5160
Cu 0.0000 2.3769 3.8387
Te 0.0000 6.6202 11.5160
Dy 2.1776 2.0162 6.6526
Te 0.0000 0.0000 0.0000
Te 0.0000 4.0338 1.7535
Dy 0.0000 5.4893 14.3299
Te 2.1776 0.8853 3.8387
Dy 0.0000 5.4893 8.7020
Dy 2.1776 2.0162 1.0247
Te 0.0000 0.0000 7.6773
Te 2.1776 3.4717 13.6011
Tl 2.1776 5.7600 3.8387
Te 2.1776 3.4717 9.4308
```

Summary:
Calculated density = 7.301 g/cm³
Raw formation energy = -22.2 kcal/mol of atoms
Total magnetization = 0.0 μB per cell



First-principles (GGA-PBE) data for crystalline DyTl2Cu2Te4 at its relaxed geometry, as listed in Alexandria via LeMat-Bulk.

The structure in extended XYZ format:
```
9
Lattice="-1.6665 0.0309 3.8520 -6.7417 -4.4544 -2.8809 6.3327 -5.0494 0.4935" Properties=species:S:1:pos:R:3 pbc="T T T"
Te -3.0515 -6.5730 1.0191
Cu 3.4069 -3.2011 1.4996
Tl 0.2100 -5.6941 2.4231
Tl -2.2854 -3.7788 -0.9585
Dy 0.0000 0.0000 0.0000
Cu -5.4824 -6.2718 -0.0349
Te 3.5969 -5.8557 1.6030
Te 0.9761 -2.8998 0.4455
Te -5.6723 -3.6171 -0.1384
```

Summary:
Calculated density = 7.511 g/cm³
Raw formation energy = -12.4 kcal/mol of atoms
Total magnetization = 0.0 μB per cell



First-principles (GGA-PBE) data for crystalline Dy3Tl4CuTe8 at its relaxed geometry, as listed in Alexandria via LeMat-Bulk.

The structure in extended XYZ format:
```
16
Lattice="8.7760 0.0000 0.0000 0.0000 9.4408 0.4152 -4.3880 -4.4136 6.2643" Properties=species:S:1:pos:R:3 pbc="T T T"
Cu 0.0000 4.7204 0.2076
Te 2.0441 2.7162 0.2551
Dy 4.3880 4.7204 0.2076
Tl 0.0000 0.0000 0.0000
Te 4.3880 0.3670 3.4182
Te 4.3880 4.6749 3.2952
Te 6.7319 2.7162 0.2551
Tl -2.1940 -2.2068 3.1321
Te -2.3439 2.3110 6.4243
Tl 4.3880 0.0000 0.0000
Tl 2.1940 -2.2068 3.1321
Dy -2.1940 2.5136 3.3397
Te 2.3439 2.3110 6.4243
Dy 2.1940 2.5136 3.3397
Te 0.0000 4.6602 3.2613
Te 0.0000 0.3524 3.3842
```

Summary:
Calculated density = 7.415 g/cm³
Raw formation energy = -17.1 kcal/mol of atoms
Total magnetization = 0.0 μB per cell



First-principles (GGA-PBE) data for crystalline Dy3Tl3CuTe8 at its relaxed geometry, as listed in Alexandria via LeMat-Bulk.

The structure in extended XYZ format:
```
15
Lattice="8.6496 0.0000 0.0000 -4.3248 7.5260 -0.0391 0.0000 -4.9915 8.2683" Properties=species:S:1:pos:R:3 pbc="T T T"
Dy -2.1624 1.2672 4.1146
Tl -2.1624 3.7630 -0.0196
Dy 4.3248 -2.4958 4.1342
Te 0.0000 -0.2992 5.6801
Te 2.2450 3.8262 5.7910
Cu 0.0000 -2.4958 4.1342
Tl 2.1624 3.7630 -0.0196
Te 2.0798 -1.2918 2.4383
Dy 2.1624 1.2672 4.1146
Te 4.3248 2.8337 2.5491
Te 4.3248 0.0217 5.9119
Te 0.0000 2.5128 2.3173
Te 6.5698 -1.2918 2.4383
Te -2.2450 3.8262 5.7910
Tl 0.0000 0.0000 0.0000
```

Summary:
Calculated density = 6.762 g/cm³
Raw formation energy = -16.6 kcal/mol of atoms
Total magnetization = 0.0 μB per cell



First-principles (GGA-PBE) data for crystalline Dy2Tl3CuTe6 at its relaxed geometry, as listed in Alexandria via LeMat-Bulk.

The structure in extended XYZ format:
```
12
Lattice="-0.1863 3.5853 -6.6543 2.3970 -7.1663 0.2594 -8.2167 -1.1500 1.2818" Properties=species:S:1:pos:R:3 pbc="T T T"
Dy 1.5176 -3.5065 -2.0940
Te -0.3361 -2.9450 -4.4542
Te -5.2819 -2.1092 -5.0415
Dy 0.6930 -0.0745 -4.3009
Tl -3.0030 -2.3655 -2.5565
Te -4.4974 -5.3742 -2.9420
Te -1.5086 0.6433 -2.1711
Tl -2.1901 -5.7488 -0.3809
Tl -3.8159 1.0178 -4.7321
Te -0.7241 -2.6218 -0.0715
Cu 0.0000 0.0000 0.0000
Te -5.6699 -1.7860 -0.6589
```

Summary:
Calculated density = 7.464 g/cm³
Raw formation energy = -14.9 kcal/mol of atoms
Total magnetization = 0.0 μB per cell



First-principles (GGA-PBE) data for crystalline DyThCu3 at its relaxed geometry, as listed in Alexandria via LeMat-Bulk.

The structure in extended XYZ format:
```
10
Lattice="-0.1757 0.4426 3.4843 -4.3572 -0.1437 -0.2014 0.4424 -13.3270 -0.0594" Properties=species:S:1:pos:R:3 pbc="T T T"
Cu -3.3390 -0.5052 1.6705
Cu -3.0354 -8.7012 0.9523
Cu -3.2713 -3.0079 1.9919
Th -1.0380 -1.9316 0.1930
Dy -3.1224 -5.4856 0.5394
Cu -0.7515 -12.5229 1.5529
Cu -1.0550 -4.3270 2.2712
Th -3.0524 -11.0966 3.0304
Cu -0.8192 -10.0203 1.2316
Dy -0.9680 -7.5426 2.6840
```

Summary:
Calculated density = 9.580 g/cm³
Energy relative to the elements = -1.1 eV per formula unit
Total magnetization = 0.0 μB per cell



First-principles (GGA-PBE) data for crystalline DyTh2Cu at its relaxed geometry, as listed in Alexandria via LeMat-Bulk.

The structure in extended XYZ format:
```
4
Lattice="3.6206 0.0000 0.0000 1.8103 3.1355 0.0000 1.8103 1.0452 10.0078" Properties=species:S:1:pos:R:3 pbc="T T T"
Cu 0.0000 0.0000 0.0000
Th 5.4308 3.1355 7.8913
Dy 3.6206 2.0903 5.0039
Th 1.8103 1.0452 2.1165
```

Summary:
ΔE to the lowest computed polymorph = 96 meV/atom
Calculated density = 10.087 g/cm³
Energy relative to the elements = 0.4 eV per formula unit
Total magnetization = 0.0 μB per cell



First-principles (GGA-PBE) data for crystalline DyThCu2 at its relaxed geometry, as listed in Alexandria via LeMat-Bulk.

The structure in extended XYZ format:
```
4
Lattice="-3.3302 -1.0366 1.4340 1.9873 -1.3706 3.6245 1.1048 5.4678 1.4618" Properties=species:S:1:pos:R:3 pbc="T T T"
Dy -0.0048 1.1467 3.0525
Cu 0.5820 3.0626 0.8390
Cu 1.4194 3.7642 3.2614
Th -1.3284 4.6842 2.4997
```

Summary:
ΔE to the lowest computed polymorph = 0 meV/atom
Calculated density = 9.701 g/cm³
Energy relative to the elements = -0.7 eV per formula unit
Total magnetization = 0.0 μB per cell



First-principles (GGA-PBE) data for crystalline Dy5ThCu6 at its relaxed geometry, as listed in Alexandria via LeMat-Bulk.

The structure in extended XYZ format:
```
12
Lattice="4.7542 0.0202 -1.3875 -0.9542 6.1093 -3.1814 -0.0895 0.4752 8.5394" Properties=species:S:1:pos:R:3 pbc="T T T"
Cu 3.8227 0.8326 4.2712
Dy 0.7159 5.3873 2.5310
Cu -0.1123 5.7721 -0.3006
Cu 0.3675 2.7021 1.2980
Dy 2.4988 4.2357 -0.2154
Cu 3.3429 3.9026 2.6727
Dy -0.4771 3.0547 -1.5907
Dy 1.2116 2.3690 4.1860
Cu 1.6603 4.6002 -3.0840
Cu 2.1397 1.5293 -1.4848
Th 0.0000 0.0000 0.0000
Dy 2.9946 1.2175 1.4397
```

Summary:
Calculated density = 9.276 g/cm³
Energy relative to the elements = -2.6 eV per formula unit
Total magnetization = 0.0 μB per cell



First-principles (GGA-PBE) data for crystalline Dy2ThCu3 at its relaxed geometry, as listed in Alexandria via LeMat-Bulk.

The structure in extended XYZ format:
```
6
Lattice="3.4632 0.0000 0.0000 0.0000 3.4632 0.0000 0.0000 0.0000 10.7337" Properties=species:S:1:pos:R:3 pbc="T T T"
Cu 0.0000 0.0000 3.4271
Th 1.7316 1.7316 5.3669
Dy 1.7316 1.7316 9.0007
Cu 0.0000 0.0000 0.0000
Dy 1.7316 1.7316 1.7330
Cu 0.0000 0.0000 7.3067
```

Summary:
Calculated density = 9.644 g/cm³
Energy relative to the elements = -1.1 eV per formula unit
Total magnetization = 0.0 μB per cell



First-principles (GGA-PBE) data for crystalline Dy3ThCu2 at its relaxed geometry, as listed in Alexandria via LeMat-Bulk.

The structure in extended XYZ format:
```
6
Lattice="3.5035 0.0000 0.0000 0.0000 3.5035 0.0000 0.0000 0.0000 11.9525" Properties=species:S:1:pos:R:3 pbc="T T T"
Dy 0.0000 0.0000 0.0000
Dy 0.0000 0.0000 3.4376
Cu 1.7518 1.7518 1.7103
Cu 1.7518 1.7518 10.2422
Th 1.7518 1.7518 5.9762
Dy 0.0000 0.0000 8.5149
```

Summary:
Calculated density = 9.582 g/cm³
Energy relative to the elements = -0.9 eV per formula unit
Total magnetization = 0.0 μB per cell



First-principles (GGA-PBE) data for crystalline DyThCu2 at its relaxed geometry, as listed in Alexandria via LeMat-Bulk.

The structure in extended XYZ format:
```
4
Lattice="-1.9754 -3.2290 0.1528 -1.1092 -1.6953 -3.2012 5.5668 -5.6830 -1.1609" Properties=species:S:1:pos:R:3 pbc="T T T"
Cu 1.8811 -7.9674 -3.1574
Cu 0.6011 -2.6399 -1.0519
Dy 0.0000 0.0000 0.0000
Th 1.2411 -5.3036 -2.1046
```

Summary:
ΔE to the lowest computed polymorph = 229 meV/atom
Calculated density = 9.008 g/cm³
Energy relative to the elements = 0.2 eV per formula unit
Total magnetization = 0.0 μB per cell